1.
# meta-GGA SCAN ErGe2Ir, PBEsol geometry
data_ErGe2Ir
_cell_length_a 4.202
_cell_length_b 8.778
_cell_length_c 15.880
_cell_angle_alpha 90.00
_cell_angle_beta 90.00
_cell_angle_gamma 90.00
_symmetry_space_group_name_H-M 'I m m m'
_symmetry_Int_Tables_number 71
_symmetry_space_group_name_Hall '-I 2 2'
loop_
_atom_site_label
_atom_site_type_symbol
_atom_site_fract_x
_atom_site_fract_y
_atom_site_fract_z
Er1 Er 0.000 0.000 0.205
Er2 Er 0.000 0.238 0.000
Ge1 Ge 0.000 0.000 0.422
Ge2 Ge 0.000 0.348 0.201
Ge3 Ge 0.000 0.500 0.423
Ir1 Ir 0.000 0.250 0.355
# - theoretical density (Mg/m³) = 11.4
# - DOS at the Fermi energy (states/eV per atom) = 0.32
# - VASP energy (eV per cell) = -1307.35

2.
# meta-GGA SCAN La5Er5Ge6, PBEsol geometry
data_La5Er5Ge6
_cell_length_a 6.421
_cell_length_b 14.861
_cell_length_c 8.707
_cell_angle_alpha 90.00
_cell_angle_beta 90.00
_cell_angle_gamma 90.00
_symmetry_space_group_name_H-M 'A m m 2'
_symmetry_Int_Tables_number 38
_symmetry_space_group_name_Hall 'A 2 -2'
loop_
_atom_site_label
_atom_site_type_symbol
_atom_site_fract_x
_atom_site_fract_y
_atom_site_fract_z
La1 La 0.000 0.000 0.000
La2 La 0.000 0.122 0.376
La3 La 0.500 0.124 0.128
Er1 Er 0.250 0.166 0.752
Er2 Er 0.500 0.000 0.510
Ge1 Ge 0.000 0.000 0.651
Ge2 Ge 0.000 0.200 0.054
Ge3 Ge 0.500 0.000 0.848
Ge4 Ge 0.500 0.192 0.455
# - theoretical density (Mg/m³) = 7.9
# - DOS at the Fermi energy (states/eV per atom) = 0.93
# - VASP energy (eV per cell) = -1188.86

3.
# meta-GGA SCAN Er6MgGe2S14, PBEsol geometry
data_Er6MgGe2S14
_cell_length_a 9.6481
_cell_length_b 9.6481
_cell_length_c 5.6584
_cell_angle_alpha 90.00
_cell_angle_beta 90.00
_cell_angle_gamma 120.00
_symmetry_space_group_name_H-M 'P 3'
_symmetry_Int_Tables_number 143
_symmetry_space_group_name_Hall 'P 3'
loop_
_atom_site_label
_atom_site_type_symbol
_atom_site_fract_x
_atom_site_fract_y
_atom_site_fract_z
Er1 Er 0.0264 0.4686 0.0000
Er2 Er 0.3088 0.1978 0.5066
Mg1 Mg 0.6667 0.3333 0.2184
Ge1 Ge 0.0000 0.0000 0.0874
Ge2 Ge 0.3333 0.6667 0.5786
S1 S 0.0000 0.0000 0.7015
S2 S 0.0902 0.2399 0.2506
S3 S 0.1833 0.7562 0.7440
S4 S 0.3333 0.6667 0.1938
S5 S 0.4116 0.2354 0.9726
S6 S 0.5117 0.0783 0.4582
# - theoretical density (Mg/m³) = 5.9
# - DOS at the Fermi energy (states/eV per atom) = 0.00
# - formation energy without anion corrections (eV per atom) = -1.77
# - VASP energy (eV per cell) = -520.63

4.
# meta-GGA SCAN ErMn2Ge2, PBEsol geometry
data_ErMn2Ge2
_cell_length_a 3.858
_cell_length_b 3.858
_cell_length_c 10.605
_cell_angle_alpha 90.00
_cell_angle_beta 90.00
_cell_angle_gamma 90.00
_symmetry_space_group_name_H-M 'I 4/m m m'
_symmetry_Int_Tables_number 139
_symmetry_space_group_name_Hall '-I 4 2'
loop_
_atom_site_label
_atom_site_type_symbol
_atom_site_fract_x
_atom_site_fract_y
_atom_site_fract_z
Er1 Er 0.000 0.000 0.000
Mn1 Mn 0.000 0.500 0.250
Ge1 Ge 0.000 0.000 0.382
# - theoretical density (Mg/m³) = 8.9
# - DOS at the Fermi energy (states/eV per atom) = 0.50
# - VASP energy (eV per cell) = -256.33

5.
# meta-GGA SCAN NaErGeO4, PBEsol geometry
data_NaErGeO4
_cell_length_a 11.327
_cell_length_b 6.360
_cell_length_c 5.250
_cell_angle_alpha 90.00
_cell_angle_beta 90.00
_cell_angle_gamma 90.00
_symmetry_space_group_name_H-M 'P n m a'
_symmetry_Int_Tables_number 62
_symmetry_space_group_name_Hall '-P 2ac 2n'
loop_
_atom_site_label
_atom_site_type_symbol
_atom_site_fract_x
_atom_site_fract_y
_atom_site_fract_z
Na1 Na 0.000 0.000 0.000
Er1 Er 0.223 0.250 0.493
Ge1 Ge 0.098 0.750 0.552
O1 O 0.046 0.250 0.329
O2 O 0.112 0.750 0.223
O3 O 0.176 0.540 0.708
# - theoretical density (Mg/m³) = 5.7
# - DOS at the Fermi energy (states/eV per atom) = 0.00
# - formation energy without anion corrections (eV per atom) = -2.72
# - VASP energy (eV per cell) = -470.31

6.
# meta-GGA SCAN Er2Nb3Ge4, PBEsol geometry
data_Er2Nb3Ge4
_cell_length_a 6.906
_cell_length_b 13.379
_cell_length_c 7.082
_cell_angle_alpha 90.00
_cell_angle_beta 90.00
_cell_angle_gamma 90.00
_symmetry_space_group_name_H-M 'P n m a'
_symmetry_Int_Tables_number 62
_symmetry_space_group_name_Hall '-P 2ac 2n'
loop_
_atom_site_label
_atom_site_type_symbol
_atom_site_fract_x
_atom_site_fract_y
_atom_site_fract_z
Er1 Er 0.004 0.095 0.174
Nb1 Nb 0.159 0.627 0.329
Nb2 Nb 0.165 0.250 0.511
Ge1 Ge 0.040 0.250 0.881
Ge2 Ge 0.176 0.041 0.538
Ge3 Ge 0.195 0.750 0.640
# - theoretical density (Mg/m³) = 9.2
# - DOS at the Fermi energy (states/eV per atom) = 0.34
# - VASP energy (eV per cell) = -1136.24

7.
# meta-GGA SCAN ErNi2Ge2, PBEsol geometry
data_ErNi2Ge2
_cell_length_a 3.989
_cell_length_b 3.989
_cell_length_c 9.641
_cell_angle_alpha 90.00
_cell_angle_beta 90.00
_cell_angle_gamma 90.00
_symmetry_space_group_name_H-M 'I 4/m m m'
_symmetry_Int_Tables_number 139
_symmetry_space_group_name_Hall '-I 4 2'
loop_
_atom_site_label
_atom_site_type_symbol
_atom_site_fract_x
_atom_site_fract_y
_atom_site_fract_z
Er1 Er 0.000 0.000 0.000
Ni1 Ni 0.000 0.500 0.250
Ge1 Ge 0.000 0.000 0.372
# - theoretical density (Mg/m³) = 9.3
# - DOS at the Fermi energy (states/eV per atom) = 0.68
# - VASP energy (eV per cell) = -249.27

8.
# meta-GGA SCAN ErNiGe2, PBEsol geometry
data_ErNiGe2
_cell_length_a 4.097
_cell_length_b 8.372
_cell_length_c 15.630
_cell_angle_alpha 90.00
_cell_angle_beta 90.00
_cell_angle_gamma 90.00
_symmetry_space_group_name_H-M 'I m m m'
_symmetry_Int_Tables_number 71
_symmetry_space_group_name_Hall '-I 2 2'
loop_
_atom_site_label
_atom_site_type_symbol
_atom_site_fract_x
_atom_site_fract_y
_atom_site_fract_z
Er1 Er 0.000 0.000 0.204
Er2 Er 0.000 0.239 0.000
Ni1 Ni 0.000 0.251 0.352
Ge1 Ge 0.000 0.000 0.420
Ge2 Ge 0.000 0.342 0.196
Ge3 Ge 0.000 0.500 0.423
# - theoretical density (Mg/m³) = 9.2
# - DOS at the Fermi energy (states/eV per atom) = 0.33
# - VASP energy (eV per cell) = -862.56

9.
# meta-GGA SCAN Er3NiGe2, PBEsol geometry
data_Er3NiGe2
_cell_length_a 11.129
_cell_length_b 4.083
_cell_length_c 10.981
_cell_angle_alpha 90.00
_cell_angle_beta 90.00
_cell_angle_gamma 90.00
_symmetry_space_group_name_H-M 'P n m a'
_symmetry_Int_Tables_number 62
_symmetry_space_group_name_Hall '-P 2ac 2n'
loop_
_atom_site_label
_atom_site_type_symbol
_atom_site_fract_x
_atom_site_fract_y
_atom_site_fract_z
Er1 Er 0.056 0.250 0.128
Er2 Er 0.119 0.750 0.559
Er3 Er 0.220 0.250 0.803
Ni1 Ni 0.129 0.250 0.369
Ge1 Ge 0.017 0.750 0.313
Ge2 Ge 0.192 0.750 0.999
# - theoretical density (Mg/m³) = 9.4
# - DOS at the Fermi energy (states/eV per atom) = 0.66
# - VASP energy (eV per cell) = -842.41

10.
# meta-GGA SCAN Er2Ge2O7, PBEsol geometry
data_Er2Ge2O7
_cell_length_a 6.745
_cell_length_b 6.745
_cell_length_c 12.268
_cell_angle_alpha 90.00
_cell_angle_beta 90.00
_cell_angle_gamma 90.00
_symmetry_space_group_name_H-M 'P 41 21 2'
_symmetry_Int_Tables_number 92
_symmetry_space_group_name_Hall 'P 4abw 2nw'
loop_
_atom_site_label
_atom_site_type_symbol
_atom_site_fract_x
_atom_site_fract_y
_atom_site_fract_z
Er1 Er 0.127 0.355 0.114
Ge1 Ge 0.101 0.151 0.632
O1 O 0.035 0.079 0.871
O2 O 0.067 0.662 0.179
O3 O 0.145 0.321 0.294
O4 O 0.198 0.198 0.500
# - theoretical density (Mg/m³) = 7.0
# - DOS at the Fermi energy (states/eV per atom) = 0.00
# - formation energy without anion corrections (eV per atom) = -2.88
# - VASP energy (eV per cell) = -856.47

11.
# meta-GGA SCAN ErGePd, PBEsol geometry
data_ErGePd
_cell_length_a 10.227
_cell_length_b 4.274
_cell_length_c 6.860
_cell_angle_alpha 90.00
_cell_angle_beta 131.87
_cell_angle_gamma 90.00
_symmetry_space_group_name_H-M 'C 1 2/m 1'
_symmetry_Int_Tables_number 12
_symmetry_space_group_name_Hall '-C 2y'
loop_
_atom_site_label
_atom_site_type_symbol
_atom_site_fract_x
_atom_site_fract_y
_atom_site_fract_z
Er1 Er 0.049 0.000 0.309
Ge1 Ge 0.159 0.500 0.100
Pd1 Pd 0.176 0.500 0.726
# - theoretical density (Mg/m³) = 10.3
# - DOS at the Fermi energy (states/eV per atom) = 0.37
# - VASP energy (eV per cell) = -421.26

12.
# meta-GGA SCAN ErGePd2, PBEsol geometry
data_ErGePd2
_cell_length_a 7.234
_cell_length_b 7.024
_cell_length_c 5.484
_cell_angle_alpha 90.00
_cell_angle_beta 90.00
_cell_angle_gamma 90.00
_symmetry_space_group_name_H-M 'P n m a'
_symmetry_Int_Tables_number 62
_symmetry_space_group_name_Hall '-P 2ac 2n'
loop_
_atom_site_label
_atom_site_type_symbol
_atom_site_fract_x
_atom_site_fract_y
_atom_site_fract_z
Er1 Er 0.028 0.250 0.143
Ge1 Ge 0.118 0.750 0.357
Pd1 Pd 0.183 0.051 0.587
# - theoretical density (Mg/m³) = 10.8
# - DOS at the Fermi energy (states/eV per atom) = 0.30
# - VASP energy (eV per cell) = -556.31

13.
# meta-GGA SCAN ErGePd, PBEsol geometry
data_ErGePd
_cell_length_a 4.318
_cell_length_b 20.474
_cell_length_c 7.498
_cell_angle_alpha 90.00
_cell_angle_beta 90.00
_cell_angle_gamma 90.00
_symmetry_space_group_name_H-M 'I m m 2'
_symmetry_Int_Tables_number 44
_symmetry_space_group_name_Hall 'I 2 -2'
loop_
_atom_site_label
_atom_site_type_symbol
_atom_site_fract_x
_atom_site_fract_y
_atom_site_fract_z
Er1 Er 0.000 0.000 0.000
Er2 Er 0.000 0.167 0.078
Er3 Er 0.000 0.333 0.998
Er4 Er 0.000 0.500 0.084
Ge1 Ge 0.000 0.065 0.382
Ge2 Ge 0.000 0.236 0.696
Ge3 Ge 0.000 0.406 0.380
Pd1 Pd 0.000 0.105 0.707
Pd2 Pd 0.000 0.268 0.367
Pd3 Pd 0.000 0.428 0.711
# - theoretical density (Mg/m³) = 10.4
# - DOS at the Fermi energy (states/eV per atom) = 0.31
# - VASP energy (eV per cell) = -1266.88

14.
# meta-GGA SCAN ErGe2Pt, PBEsol geometry
data_ErGe2Pt
_cell_length_a 4.244
_cell_length_b 8.644
_cell_length_c 16.252
_cell_angle_alpha 90.00
_cell_angle_beta 90.00
_cell_angle_gamma 90.00
_symmetry_space_group_name_H-M 'I m m m'
_symmetry_Int_Tables_number 71
_symmetry_space_group_name_Hall '-I 2 2'
loop_
_atom_site_label
_atom_site_type_symbol
_atom_site_fract_x
_atom_site_fract_y
_atom_site_fract_z
Er1 Er 0.000 0.000 0.201
Er2 Er 0.000 0.234 0.000
Ge1 Ge 0.000 0.000 0.427
Ge2 Ge 0.000 0.350 0.202
Ge3 Ge 0.000 0.500 0.426
Pt1 Pt 0.000 0.250 0.353
# - theoretical density (Mg/m³) = 11.3
# - DOS at the Fermi energy (states/eV per atom) = 0.26
# - VASP energy (eV per cell) = -1302.58

15.
# meta-GGA SCAN ErGePt, PBEsol geometry
data_ErGePt
_cell_length_a 6.864
_cell_length_b 4.312
_cell_length_c 7.489
_cell_angle_alpha 90.00
_cell_angle_beta 90.00
_cell_angle_gamma 90.00
_symmetry_space_group_name_H-M 'P n m a'
_symmetry_Int_Tables_number 62
_symmetry_space_group_name_Hall '-P 2ac 2n'
loop_
_atom_site_label
_atom_site_type_symbol
_atom_site_fract_x
_atom_site_fract_y
_atom_site_fract_z
Er1 Er 0.003 0.250 0.203
Ge1 Ge 0.190 0.250 0.589
Pt1 Pt 0.205 0.750 0.416
# - theoretical density (Mg/m³) = 13.0
# - DOS at the Fermi energy (states/eV per atom) = 0.37
# - VASP energy (eV per cell) = -575.04

16.
# meta-GGA SCAN Er4Ge6Rh7, PBEsol geometry
data_Er4Ge6Rh7
_cell_length_a 8.230
_cell_length_b 8.230
_cell_length_c 8.230
_cell_angle_alpha 90.00
_cell_angle_beta 90.00
_cell_angle_gamma 90.00
_symmetry_space_group_name_H-M 'I m -3 m'
_symmetry_Int_Tables_number 229
_symmetry_space_group_name_Hall '-I 4 2 3'
loop_
_atom_site_label
_atom_site_type_symbol
_atom_site_fract_x
_atom_site_fract_y
_atom_site_fract_z
Er1 Er 0.250 0.250 0.250
Ge1 Ge 0.000 0.000 0.319
Rh1 Rh 0.000 0.000 0.000
Rh2 Rh 0.000 0.250 0.500
# - theoretical density (Mg/m³) = 10.9
# - DOS at the Fermi energy (states/eV per atom) = 0.48
# - VASP energy (eV per cell) = -1142.14